CsMnN2O after structural relaxation. Source: Alexandria, functional PBE+U.

Structure (CIF):
```
data_CsMnN2O
_chemical_formula_sum 'Cs1 Mn1 N2 O1'
_cell_length_a 4.353
_cell_length_b 4.353
_cell_length_c 4.352
_cell_angle_alpha 90.00
_cell_angle_beta 90.00
_cell_angle_gamma 90.00
_symmetry_space_group_name_H-M 'P 1'
_symmetry_Int_Tables_number 1
loop_
_symmetry_equiv_pos_as_xyz
'x,y,z'
loop_
_atom_site_label
_atom_site_type_symbol
_atom_site_fract_x
_atom_site_fract_y
_atom_site_fract_z
Cs1 Cs 0.000 0.000 0.000
N1 N 0.000 0.500 0.000
N2 N 0.500 0.000 0.000
O1 O 0.000 0.000 0.500
Mn1 Mn 0.500 0.500 0.500
```

## Properties
**Total moment**: 1.385 μB/cell
**Space-group type**: P4/mmm
**Volume**: 16.49 Å³/atom
**E_tot**: -2.7790 eV/atom